## CaSb2ICl (GGA-PBE)

Data for crystalline CaSb2ICl at its relaxed geometry.

Lattice parameters (Å, degrees): 5.9427 5.9427 5.7834 90.00 90.00 90.00
Space group P4/mmm (No. 123)
Symmetry-distinct sites (fractional):
Ca1 0.0000 0.0000 0.0000 [1 per cell]
Sb1 0.0000 0.5000 0.0000 [2 per cell]
I1 0.0000 0.0000 0.5000 [1 per cell]
Cl1 0.5000 0.5000 0.5000 [1 per cell]

Total DFT energy (no corrections) ... -0.0929 Ha/atom
Spin magnetization ... 0.03 Bohr magnetons per cell
Distance to the lowest polymorph of the same formula ... 226 meV/atom
Fermi-level density of states ... 0.815 states/eV/atom
Formation energy from raw total energies ... 0.20 eV per atom

## V2Fe3Co3 (GGA-PBE)

Data for crystalline V2Fe3Co3 at its relaxed geometry.

Lattice parameters (Å, degrees): 6.4387 6.4387 7.8813 90.00 90.00 120.00
Space group R32 (No. 155, hexagonal axes)
Symmetry-distinct sites (fractional):
V1 0.0000 0.0000 0.2448 [6 per cell]
Fe1 0.0000 0.7549 0.5000 [9 per cell]
Co1 0.0000 0.2533 0.0000 [9 per cell]

Total DFT energy (no corrections) ... -0.3006 Ha/atom
Spin magnetization ... 29.50 Bohr magnetons per cell
Fermi-level density of states ... 0.893 states/eV/atom
Calculated formation energy ... -61 meV per atom

## CuAsPt (GGA-PBE)

Data for crystalline CuAsPt at its relaxed geometry.

Lattice parameters (Å, degrees): 5.9400 5.9400 5.9400 90.00 90.00 90.00
Space group F-43m (No. 216)
Symmetry-distinct sites (fractional):
Cu1 0.0000 0.0000 0.0000 [4 per cell]
As1 0.0000 0.0000 0.5000 [4 per cell]
Pt1 0.2500 0.2500 0.7500 [4 per cell]

Total DFT energy (no corrections) ... -0.1855 Ha/atom
Spin magnetization ... 0.00 Bohr magnetons per cell
Distance to the lowest polymorph of the same formula ... 0 meV/atom
Fermi-level density of states ... 0.403 states/eV/atom
Calculated formation energy ... -118 meV per atom

Q: The lowest spin magnetization belongs to which entry?
A: CuAsPt